(1)
# Rb2CaHgAu | Alexandria via LeMat-Bulk | GGA-PBEsol | optimized geometry
data_Rb2CaHgAu
_chemical_formula_sum 'Rb2 Ca1 Hg1 Au1'
_symmetry_space_group_name_H-M 'P 4/m m m'
_symmetry_Int_Tables_number 123
_symmetry_space_group_name_Hall '-P 4 2'
_cell_length_a 6.359
_cell_length_b 6.359
_cell_length_c 5.705
_cell_angle_alpha 90.00
_cell_angle_beta 90.00
_cell_angle_gamma 90.00
loop_
_atom_site_label
_atom_site_type_symbol
_atom_site_fract_x
_atom_site_fract_y
_atom_site_fract_z
_atom_site_occupancy
Rb1 Rb 0.000 0.500 0.000 1
Ca1 Ca 0.000 0.000 0.500 1
Hg1 Hg 0.500 0.500 0.500 1
Au1 Au 0.000 0.000 0.000 1
# Formation energy from the elements = -0.02 eV/atom
# Calculated total energy = -8.77 eV per cell
# D(E_F) = 3.45 states/eV per cell



(2)
# CaZrSbP2 | Alexandria via LeMat-Bulk | GGA-PBEsol | optimized geometry
data_CaZrSbP2
_chemical_formula_sum 'Ca1 Zr1 Sb1 P2'
_symmetry_space_group_name_H-M 'P 4/m m m'
_symmetry_Int_Tables_number 123
_symmetry_space_group_name_Hall '-P 4 2'
_cell_length_a 5.185
_cell_length_b 5.185
_cell_length_c 5.260
_cell_angle_alpha 90.00
_cell_angle_beta 90.00
_cell_angle_gamma 90.00
loop_
_atom_site_label
_atom_site_type_symbol
_atom_site_fract_x
_atom_site_fract_y
_atom_site_fract_z
_atom_site_occupancy
Ca1 Ca 0.000 0.000 0.000 1
Zr1 Zr 0.500 0.500 0.000 1
Sb1 Sb 0.500 0.500 0.500 1
P1 P 0.000 0.500 0.500 1
# Calculated total energy = -24.02 eV per cell
# Raw formation energy = 0.67 eV/atom
# D(E_F) = 4.94 states/eV per cell



(3)
# BaAs2WSe | Alexandria via LeMat-Bulk | GGA-PBEsol | optimized geometry
data_BaAs2WSe
_chemical_formula_sum 'Ba1 As2 W1 Se1'
_symmetry_space_group_name_H-M 'P 4/m m m'
_symmetry_Int_Tables_number 123
_symmetry_space_group_name_Hall '-P 4 2'
_cell_length_a 4.852
_cell_length_b 4.852
_cell_length_c 5.258
_cell_angle_alpha 90.00
_cell_angle_beta 90.00
_cell_angle_gamma 90.00
loop_
_atom_site_label
_atom_site_type_symbol
_atom_site_fract_x
_atom_site_fract_y
_atom_site_fract_z
_atom_site_occupancy
Ba1 Ba 0.000 0.000 0.000 1
As1 As 0.000 0.500 0.500 1
W1 W 0.500 0.500 0.500 1
Se1 Se 0.500 0.500 0.000 1
# Calculated total energy = -32.05 eV per cell
# Raw formation energy = -0.41 eV/atom
# D(E_F) = 2.79 states/eV per cell



(4)
# Li3Cu4SnO8 | Alexandria via LeMat-Bulk | GGA-PBEsol | optimized geometry
data_Li3Cu4SnO8
_chemical_formula_sum 'Li6 Cu8 Sn2 O16'
_symmetry_space_group_name_H-M 'C 1 2/m 1'
_symmetry_Int_Tables_number 12
_symmetry_space_group_name_Hall '-C 2y'
_cell_length_a 10.926
_cell_length_b 5.718
_cell_length_c 5.741
_cell_angle_alpha 90.00
_cell_angle_beta 120.30
_cell_angle_gamma 90.00
loop_
_atom_site_label
_atom_site_type_symbol
_atom_site_fract_x
_atom_site_fract_y
_atom_site_fract_z
_atom_site_occupancy
Li1 Li 0.000 0.000 0.000 1
Li2 Li 0.250 0.250 0.500 1
Cu1 Cu 0.000 0.000 0.500 1
Cu2 Cu 0.000 0.500 0.000 1
Cu3 Cu 0.250 0.250 0.000 1
Sn1 Sn 0.000 0.500 0.500 1
O1 O 0.029 0.264 0.261 1
O2 O 0.202 0.000 0.741 1
O3 O 0.223 0.500 0.754 1
# Calculated total energy = -176.57 eV per cell
# Raw formation energy = -1.17 eV/atom
# D(E_F) = 8.06 states/eV per cell



(5)
# Tl3IrC | Alexandria via LeMat-Bulk | GGA-PBEsol | optimized geometry
data_Tl3IrC
_chemical_formula_sum 'Tl3 Ir1 C1'
_symmetry_space_group_name_H-M 'P m -3 m'
_symmetry_Int_Tables_number 221
_symmetry_space_group_name_Hall '-P 4 2 3'
_cell_length_a 5.201
_cell_length_b 5.201
_cell_length_c 5.201
_cell_angle_alpha 90.00
_cell_angle_beta 90.00
_cell_angle_gamma 90.00
loop_
_atom_site_label
_atom_site_type_symbol
_atom_site_fract_x
_atom_site_fract_y
_atom_site_fract_z
_atom_site_occupancy
Tl1 Tl 0.000 0.000 0.500 1
Ir1 Ir 0.000 0.000 0.000 1
C1 C 0.500 0.500 0.500 1
# Formation energy from the elements = 1.42 eV/atom
# Calculated total energy = -20.24 eV per cell
# D(E_F) = 1.12 states/eV per cell



(6)
# MnAl2Fe | Alexandria via LeMat-Bulk | GGA-PBEsol | optimized geometry
data_MnAl2Fe
_chemical_formula_sum 'Mn2 Al4 Fe2'
_symmetry_space_group_name_H-M 'C m m m'
_symmetry_Int_Tables_number 65
_symmetry_space_group_name_Hall '-C 2 2'
_cell_length_a 5.390
_cell_length_b 6.723
_cell_length_c 2.721
_cell_angle_alpha 90.00
_cell_angle_beta 90.00
_cell_angle_gamma 90.00
loop_
_atom_site_label
_atom_site_type_symbol
_atom_site_fract_x
_atom_site_fract_y
_atom_site_fract_z
_atom_site_occupancy
Mn1 Mn 0.000 0.000 0.000 1
Al1 Al 0.250 0.250 0.500 1
Fe1 Fe 0.000 0.500 0.000 1
# Formation energy from the elements = -0.23 eV/atom
# Calculated total energy = -55.67 eV per cell
# D(E_F) = 6.22 states/eV per cell



(7)
# CoPW | Alexandria via LeMat-Bulk | GGA-PBEsol | optimized geometry
data_CoPW
_chemical_formula_sum 'Co4 P4 W4'
_symmetry_space_group_name_H-M 'P n m a'
_symmetry_Int_Tables_number 62
_symmetry_space_group_name_Hall '-P 2ac 2n'
_cell_length_a 5.737
_cell_length_b 3.711
_cell_length_c 6.678
_cell_angle_alpha 90.00
_cell_angle_beta 90.00
_cell_angle_gamma 90.00
loop_
_atom_site_label
_atom_site_type_symbol
_atom_site_fract_x
_atom_site_fract_y
_atom_site_fract_z
_atom_site_occupancy
Co1 Co 0.142 0.250 0.069 1
P1 P 0.231 0.750 0.879 1
W1 W 0.031 0.250 0.670 1
# Formation energy from the elements = -0.54 eV/atom
# Calculated total energy = -115.87 eV per cell
# D(E_F) = 5.78 states/eV per cell



(8)
# YBe2Ni | Alexandria via LeMat-Bulk | GGA-PBEsol | optimized geometry
data_YBe2Ni
_chemical_formula_sum 'Y3 Be6 Ni3'
_symmetry_space_group_name_H-M 'R -3 m'
_symmetry_Int_Tables_number 166
_symmetry_space_group_name_Hall '-R 3 2"'
_cell_length_a 3.7114
_cell_length_b 3.7114
_cell_length_c 14.2855
_cell_angle_alpha 90.00
_cell_angle_beta 90.00
_cell_angle_gamma 120.00
loop_
_atom_site_label
_atom_site_type_symbol
_atom_site_fract_x
_atom_site_fract_y
_atom_site_fract_z
_atom_site_occupancy
Y1 Y 0.0000 0.0000 0.0000 1
Be1 Be 0.0000 0.0000 0.1934 1
Ni1 Ni 0.0000 0.0000 0.5000 1
# Formation energy from the elements = -0.26 eV/atom
# Calculated total energy = -66.06 eV per cell
# Excess energy over the best structure of this formula in the dataset = 0.000 eV/atom
# D(E_F) = 10.24 states/eV per cell



(9)
# SrTlPS4 | Alexandria via LeMat-Bulk | GGA-PBEsol | optimized geometry
data_SrTlPS4
_chemical_formula_sum 'Sr4 Tl4 P4 S16'
_symmetry_space_group_name_H-M 'P n m a'
_symmetry_Int_Tables_number 62
_symmetry_space_group_name_Hall '-P 2ac 2n'
_cell_length_a 12.505
_cell_length_b 6.493
_cell_length_c 8.513
_cell_angle_alpha 90.00
_cell_angle_beta 90.00
_cell_angle_gamma 90.00
loop_
_atom_site_label
_atom_site_type_symbol
_atom_site_fract_x
_atom_site_fract_y
_atom_site_fract_z
_atom_site_occupancy
Sr1 Sr 0.135 0.250 0.111 1
Tl1 Tl 0.109 0.250 0.624 1
P1 P 0.150 0.750 0.874 1
S1 S 0.054 0.750 0.680 1
S2 S 0.067 0.750 0.081 1
S3 S 0.250 0.001 0.864 1
# Calculated total energy = -137.43 eV per cell
# Raw formation energy = -0.94 eV/atom
# D(E_F) = 0.00 states/eV per cell



(10)
# Ca3MgCu3 | Alexandria via LeMat-Bulk | GGA-PBEsol | optimized geometry
data_Ca3MgCu3
_chemical_formula_sum 'Ca6 Mg2 Cu6'
_symmetry_space_group_name_H-M 'P 1 21/m 1'
_symmetry_Int_Tables_number 11
_symmetry_space_group_name_Hall '-P 2yb'
_cell_length_a 8.713
_cell_length_b 4.182
_cell_length_c 9.874
_cell_angle_alpha 90.00
_cell_angle_beta 111.25
_cell_angle_gamma 90.00
loop_
_atom_site_label
_atom_site_type_symbol
_atom_site_fract_x
_atom_site_fract_y
_atom_site_fract_z
_atom_site_occupancy
Ca1 Ca 0.035 0.250 0.263 1
Ca2 Ca 0.310 0.750 0.130 1
Ca3 Ca 0.325 0.750 0.582 1
Mg1 Mg 0.275 0.250 0.835 1
Cu1 Cu 0.053 0.250 0.972 1
Cu2 Cu 0.055 0.250 0.562 1
Cu3 Cu 0.473 0.750 0.921 1
# Formation energy from the elements = -0.09 eV/atom
# Calculated total energy = -43.43 eV per cell
# Excess energy over the best structure of this formula in the dataset = 0.000 eV/atom
# D(E_F) = 6.85 states/eV per cell



(11)
# Ce4S4Cl2O | Alexandria via LeMat-Bulk | GGA-PBEsol | optimized geometry
data_Ce4S4Cl2O
_chemical_formula_sum 'Ce16 S16 Cl8 O4'
_symmetry_space_group_name_H-M 'C m c 21'
_symmetry_Int_Tables_number 36
_symmetry_space_group_name_Hall 'C 2c -2'
_cell_length_a 8.919
_cell_length_b 15.859
_cell_length_c 6.798
_cell_angle_alpha 90.00
_cell_angle_beta 90.00
_cell_angle_gamma 90.00
loop_
_atom_site_label
_atom_site_type_symbol
_atom_site_fract_x
_atom_site_fract_y
_atom_site_fract_z
_atom_site_occupancy
Ce1 Ce 0.000 0.185 0.000 1
Ce2 Ce 0.000 0.304 0.446 1
Ce3 Ce 0.207 0.099 0.465 1
S1 S 0.000 0.040 0.754 1
S2 S 0.000 0.371 0.068 1
S3 S 0.213 0.240 0.729 1
Cl1 Cl 0.199 0.434 0.569 1
O1 O 0.000 0.165 0.344 1
# Calculated total energy = -311.62 eV per cell
# Raw formation energy = -2.25 eV/atom
# D(E_F) = 102.78 states/eV per cell



(12)
# CsMn3Pd | Alexandria via LeMat-Bulk | GGA-PBEsol | optimized geometry
data_CsMn3Pd
_chemical_formula_sum 'Cs1 Mn3 Pd1'
_symmetry_space_group_name_H-M 'P m -3 m'
_symmetry_Int_Tables_number 221
_symmetry_space_group_name_Hall '-P 4 2 3'
_cell_length_a 4.715
_cell_length_b 4.715
_cell_length_c 4.715
_cell_angle_alpha 90.00
_cell_angle_beta 90.00
_cell_angle_gamma 90.00
loop_
_atom_site_label
_atom_site_type_symbol
_atom_site_fract_x
_atom_site_fract_y
_atom_site_fract_z
_atom_site_occupancy
Cs1 Cs 0.000 0.000 0.000 1
Mn1 Mn 0.000 0.000 0.500 1
Pd1 Pd 0.500 0.500 0.500 1
# Formation energy from the elements = 2.52 eV/atom
# Calculated total energy = -23.56 eV per cell
# D(E_F) = 4.84 states/eV per cell



(13)
# BaIn2Os | Alexandria via LeMat-Bulk | GGA-PBEsol | optimized geometry
data_BaIn2Os
_chemical_formula_sum 'Ba4 In8 Os4'
_symmetry_space_group_name_H-M 'F -4 3 m'
_symmetry_Int_Tables_number 216
_symmetry_space_group_name_Hall 'F -4 2 3'
_cell_length_a 7.221
_cell_length_b 7.221
_cell_length_c 7.221
_cell_angle_alpha 90.00
_cell_angle_beta 90.00
_cell_angle_gamma 90.00
loop_
_atom_site_label
_atom_site_type_symbol
_atom_site_fract_x
_atom_site_fract_y
_atom_site_fract_z
_atom_site_occupancy
Ba1 Ba 0.000 0.000 0.000 1
In1 In 0.000 0.000 0.500 1
In2 In 0.250 0.250 0.250 1
Os1 Os 0.250 0.250 0.750 1
# Formation energy from the elements = 0.65 eV/atom
# Calculated total energy = -70.85 eV per cell
# D(E_F) = 21.27 states/eV per cell